The following is a DFT calculation (PBE) of a geometry-optimized In4Hg structure.

Unit cell a=5.9249 b=5.9249 c=5.9249 alpha=109.47 beta=109.47 gamma=109.47
Last column: nearest neighbours and their distance in Å.
Positions (direct):
In 0.0000 0.5000 0.0000  2 Hg 2.96
In 0.0000 0.0000 0.5000  2 Hg 2.96
In 0.5000 0.5000 0.5000  2 Hg 2.96
Hg 0.0000 0.0000 0.0000  8 In 2.96
In 0.5000 0.0000 0.0000  2 Hg 2.96

Values from the calculation:
Distance to the lowest polymorph of the same formula ... 195.4 meV/atom
DFT total energy ... -2.042 eV per atom

The following is a DFT calculation (PBE) of a geometry-optimized LuPuThMg structure.

Unit cell a=5.4076 b=5.4076 c=5.4076 alpha=60.00 beta=60.00 gamma=60.00
Last column: nearest neighbours and their distance in Å.
Positions (direct):
Pu 0.2500 0.2500 0.2500  4 Th 3.31, 4 Lu 3.31
Th 0.5000 0.5000 0.5000  4 Mg 3.31, 4 Pu 3.31
Lu 0.0000 0.0000 0.0000  4 Pu 3.31, 4 Mg 3.31
Mg 0.7500 0.7500 0.7500  4 Lu 3.31, 4 Th 3.31

Values from the calculation:
DFT total energy ... -6.785 eV per atom

The following is a DFT calculation (PBE) of a geometry-optimized Y3Te2N2 structure.

Unit cell a=7.5930 b=7.1934 c=6.5811 alpha=90.00 beta=65.13 gamma=90.00
Last column: nearest neighbours and their distance in Å.
Positions (direct):
Y 0.0000 0.0000 0.0000  2 N 2.27
Te 0.0785 0.3790 0.1697  4 Y 3.04-3.24
Y 0.5000 0.5000 0.0000  2 N 2.27
N 0.4222 0.6090 0.3512  4 Y 2.27-2.40
Te 0.4215 0.8790 0.8303  4 Y 3.04-3.24
N 0.5778 0.3910 0.6488  4 Y 2.27-2.40
Te 0.5785 0.1210 0.1697  4 Y 3.04-3.24
Te 0.9215 0.6210 0.8303  4 Y 3.04-3.24
Y 0.3011 0.3600 0.5912  3 N 2.30-2.40
N 0.9222 0.8910 0.3512  4 Y 2.27-2.40
Y 0.8011 0.1400 0.5912  3 N 2.30-2.40
Y 0.6989 0.6400 0.4088  3 N 2.30-2.40
Y 0.1989 0.8600 0.4088  3 N 2.30-2.40
N 0.0778 0.1090 0.6488  4 Y 2.27-2.40

Values from the calculation:
Formation energy without anion corrections ... -30.60 kcal/mol of atoms
DFT total energy ... -7.374 eV per atom

The following is a DFT calculation (PBE) of a geometry-optimized Tl3Ga3Hg structure.

Unit cell a=7.9443 b=7.9443 c=7.9443 alpha=90.00 beta=90.00 gamma=90.00
Last column: nearest neighbours and their distance in Å.
Positions (direct):
Ga 0.5000 0.0000 0.7500  4 Tl 2.81
Ga 0.0000 0.7500 0.5000  4 Tl 2.81
Tl 0.5000 0.7500 0.0000  4 Ga 2.81
Ga 0.2500 0.5000 0.0000  4 Tl 2.81
Ga 0.0000 0.2500 0.5000  4 Tl 2.81
Tl 0.0000 0.5000 0.7500  4 Ga 2.81
Ga 0.5000 0.0000 0.2500  4 Tl 2.81
Hg 0.0000 0.0000 0.0000  12 Tl 4.44, 12 Ga 4.44
Ga 0.7500 0.5000 0.0000  4 Tl 2.81
Tl 0.5000 0.2500 0.0000  4 Ga 2.81
Tl 0.2500 0.0000 0.5000  4 Ga 2.81
Hg 0.5000 0.5000 0.5000  12 Ga 4.44, 12 Tl 4.44
Tl 0.0000 0.5000 0.2500  4 Ga 2.81
Tl 0.7500 0.0000 0.5000  4 Ga 2.81

Values from the calculation:
DFT total energy ... -2.002 eV per atom

The following is a DFT calculation (PBE) of a geometry-optimized InAgS2 structure.

Unit cell a=4.1832 b=5.8599 c=8.3535 alpha=90.01 beta=89.99 gamma=90.03
Last column: nearest neighbours and their distance in Å.
Positions (direct):
Ag 0.2022 0.8396 0.7196  4 S 2.51-2.74
S 0.2002 0.1147 0.9851  3 In 2.57-2.59, 1 Ag 2.74
S 0.7019 0.6038 0.7349  1 In 2.40, 3 Ag 2.51-2.52
Ag 0.7015 0.3398 0.4962  4 S 2.51-2.74
S 0.7001 0.6148 0.2309  3 In 2.57-2.59, 1 Ag 2.74
In 0.7004 0.3750 0.9736  4 S 2.40-2.59
S 0.2013 0.1039 0.4812  1 In 2.40, 3 Ag 2.51-2.52
In 0.2003 0.8751 0.2424  4 S 2.40-2.59

Values from the calculation:
Formation energy without anion corrections ... -8.22 kcal/mol of atoms
DFT total energy ... -3.818 eV per atom

The following is a DFT calculation (PBE) of a geometry-optimized Cs2DyPtO4 structure.

Unit cell a=6.1490 b=7.8610 c=12.5318 alpha=84.49 beta=75.80 gamma=66.98
Last column: nearest neighbours and their distance in Å.
Positions (direct):
Cs 0.1849 0.0000 0.6302  2 O 2.77
O 0.6328 0.1950 0.0071  1 Pt 2.02, 1 Dy 2.16
O 0.1172 0.3050 0.4929  1 Pt 2.02, 1 Dy 2.16
Dy 0.0000 0.0000 0.0000  4 O 2.16
Pt 0.5000 0.0000 0.0000  4 O 2.02
Cs 0.8151 0.0000 0.3698  2 O 2.77
Cs 0.5651 0.5000 0.8698  2 O 2.77
Dy 0.7500 0.5000 0.5000  4 O 2.16
O 0.9151 0.6950 0.5071  1 Pt 2.02, 1 Dy 2.16
O 0.8349 0.8050 0.9929  1 Pt 2.02, 1 Dy 2.16
O 0.3899 0.6950 0.4929  1 Pt 2.02, 1 Dy 2.16
O 0.1722 0.1950 0.9929  1 Pt 2.02, 1 Dy 2.16
O 0.5778 0.3050 0.5071  1 Pt 2.02, 1 Dy 2.16
O 0.3601 0.8050 0.0071  1 Pt 2.02, 1 Dy 2.16
Pt 0.2500 0.5000 0.5000  4 O 2.02
Cs 0.9349 0.5000 0.1302  2 O 2.77

Values from the calculation:
Formation energy without anion corrections ... -33.36 kcal/mol of atoms
DFT total energy ... -5.470 eV per atom

The following is a DFT calculation (PBE) of a geometry-optimized AlRe2Tc structure.

Unit cell a=4.4499 b=4.4499 c=2.9543 alpha=90.00 beta=90.00 gamma=90.00
Last column: nearest neighbours and their distance in Å.
Positions (direct):
Re 0.0000 0.0000 0.0000  4 Tc 2.67, 4 Al 2.67, 2 Re 2.95
Re 0.5000 0.5000 0.0000  4 Tc 2.67, 4 Al 2.67, 2 Re 2.95
Al 0.0000 0.5000 0.5000  8 Re 2.67, 2 Al 2.95
Tc 0.5000 0.0000 0.5000  8 Re 2.67, 2 Tc 2.95

Values from the calculation:
DFT total energy ... -9.676 eV per atom

The following is a DFT calculation (PBE) of a geometry-optimized Y5Er12Tm2 structure.

Unit cell a=6.4507 b=8.8276 c=11.7662 alpha=115.38 beta=99.10 gamma=81.66
Last column: nearest neighbours and their distance in Å.
Positions (direct):
Er 0.0488 0.8874 0.7315  3 Y 3.24-3.49, 4 Er 3.33-3.54, 2 Tm 3.34-3.43
Er 0.3319 0.2908 0.9211  4 Er 3.38-3.67, 3 Y 3.42-3.52, 2 Tm 3.42-3.62
Tm 0.2638 0.9848 0.0383  2 Y 3.33-3.45, 7 Er 3.33-3.64, 2 Tm 3.38-3.39
Er 0.6681 0.7092 0.0789  4 Er 3.38-3.67, 3 Y 3.42-3.52, 2 Tm 3.42-3.62
Er 0.9512 0.1126 0.2685  3 Y 3.24-3.49, 4 Er 3.33-3.54, 2 Tm 3.34-3.43
Er 0.7005 0.6888 0.3620  3 Y 3.22-3.53, 6 Er 3.33-3.57
Y 0.0000 0.0000 0.5000  6 Er 3.24-3.57
Er 0.2995 0.3112 0.6380  3 Y 3.22-3.53, 6 Er 3.33-3.57
Y 0.5142 0.3262 0.2198  7 Er 3.22-3.53, 2 Tm 3.33-3.45
Er 0.5211 0.9390 0.6388  5 Er 3.33-3.67, 3 Y 3.45-3.57, 1 Tm 3.64
Er 0.2204 0.5587 0.4593  2 Y 3.37-3.66, 7 Er 3.48-3.74
Y 0.4858 0.6738 0.7802  7 Er 3.22-3.53, 2 Tm 3.33-3.45
Y 0.1983 0.7083 0.1955  7 Er 3.27-3.61
Er 0.7796 0.4413 0.5407  2 Y 3.37-3.66, 7 Er 3.48-3.74
Er 0.4789 0.0610 0.3612  5 Er 3.33-3.67, 3 Y 3.45-3.57, 1 Tm 3.64
Er 0.9679 0.3705 0.1309  4 Y 3.27-3.61, 4 Er 3.33-3.55, 2 Tm 3.33-3.47
Y 0.8017 0.2917 0.8045  7 Er 3.27-3.61
Tm 0.7362 0.0152 0.9617  2 Y 3.33-3.45, 7 Er 3.33-3.64, 2 Tm 3.38-3.39
Er 0.0321 0.6295 0.8691  4 Y 3.27-3.61, 4 Er 3.33-3.55, 2 Tm 3.33-3.47

Values from the calculation:
Distance to the lowest polymorph of the same formula ... 0.0 meV/atom
DFT total energy ... -4.959 eV per atom

The following is a DFT calculation (PBE) of a geometry-optimized Nd4Hg2H structure.

Unit cell a=4.8716 b=4.8716 c=8.7443 alpha=106.17 beta=106.17 gamma=90.00
Last column: nearest neighbours and their distance in Å.
Positions (direct):
Nd 0.1821 0.1821 0.3643  1 H 2.93, 1 Hg 2.99
Nd 0.0000 0.5000 0.0000  2 H 2.44
Hg 0.3685 0.3685 0.7369  5 Nd 2.99-3.23
Nd 0.8179 0.8179 0.6357  1 H 2.93, 1 Hg 2.99
Nd 0.5000 0.0000 0.0000  2 H 2.44
Hg 0.6315 0.6315 0.2631  5 Nd 2.99-3.23
H 0.0000 0.0000 0.0000  4 Nd 2.44

Values from the calculation:
DFT total energy ... -3.611 eV per atom

The following is a DFT calculation (PBE) of a geometry-optimized Zr2Pd3Au6 structure.

Unit cell a=3.8002 b=3.8002 c=14.9989 alpha=97.28 beta=97.28 gamma=90.00
Last column: nearest neighbours and their distance in Å.
Positions (direct):
Zr 0.6735 0.6735 0.3470  5 Au 2.87-3.15, 4 Pd 2.88
Au 0.7706 0.7706 0.5413  1 Pd 2.67, 1 Zr 2.87, 4 Au 2.95
Au 0.0693 0.5693 0.1386  4 Au 2.69, 4 Pd 2.79
Pd 0.8613 0.8613 0.7225  5 Au 2.67-2.79, 4 Zr 2.88
Pd 0.1387 0.1387 0.2775  5 Au 2.67-2.79, 4 Zr 2.88
Au 0.4307 0.9307 0.8614  4 Au 2.69, 4 Pd 2.79
Zr 0.3265 0.3265 0.6530  5 Au 2.87-3.15, 4 Pd 2.88
Au 0.9307 0.4307 0.8614  4 Au 2.69, 4 Pd 2.79
Au 0.2294 0.2294 0.4587  1 Pd 2.67, 1 Zr 2.87, 4 Au 2.95
Au 0.5693 0.0693 0.1386  4 Au 2.69, 4 Pd 2.79
Pd 0.0000 0.0000 0.0000  8 Au 2.79

Values from the calculation:
Distance to the lowest polymorph of the same formula ... 94.4 meV/atom
DFT total energy ... -5.004 eV per atom

The following is a DFT calculation (PBE) of a geometry-optimized Ba5Au3 structure.

Unit cell a=10.2321 b=10.2321 c=8.9639 alpha=94.96 beta=94.96 gamma=134.99
Last column: nearest neighbours and their distance in Å.
Positions (direct):
Ba 0.8812 0.9909 0.6991  4 Au 3.37-3.53
Ba 0.3375 0.6221 0.8811  5 Au 3.43-3.58
Ba 0.1221 0.8375 0.8811  5 Au 3.43-3.58
Au 0.8486 0.6522 0.5004  8 Ba 3.45-3.58
Ba 0.5099 0.6197 0.3016  4 Au 3.37-3.54
Au 0.1522 0.3486 0.5004  8 Ba 3.45-3.58
Au 0.5551 0.0551 0.8113  6 Ba 3.29-3.54, 1 Au 3.68
Ba 0.1197 0.0099 0.3016  4 Au 3.37-3.54
Ba 0.4909 0.3812 0.6991  4 Au 3.37-3.53
Au 0.2480 0.2528 0.0004  8 Ba 3.37-3.51
Au 0.7528 0.7480 0.0004  8 Ba 3.37-3.51
Au 0.4457 0.9457 0.1896  6 Ba 3.29-3.54, 1 Au 3.68
Ba 0.8787 0.1633 0.1197  5 Au 3.43-3.58
Ba 0.7565 0.2565 0.5269  4 Au 3.29-3.48
Ba 0.2444 0.7444 0.4741  4 Au 3.29-3.49
Ba 0.6633 0.3787 0.1197  5 Au 3.43-3.58

Values from the calculation:
Distance to the lowest polymorph of the same formula ... 0.0 meV/atom
DFT total energy ... -2.978 eV per atom

The following is a DFT calculation (PBE) of a geometry-optimized Tb2DyTl structure.

Unit cell a=4.8667 b=4.8599 c=4.8599 alpha=90.00 beta=90.00 gamma=90.00
Last column: nearest neighbours and their distance in Å.
Positions (direct):
Tl 0.5000 0.0000 0.0000  4 Dy 3.44, 8 Tb 3.44
Tb 0.0000 0.0000 0.5000  4 Tb 3.44, 4 Dy 3.44, 4 Tl 3.44
Tb 0.0000 0.5000 0.0000  4 Tb 3.44, 4 Tl 3.44, 4 Dy 3.44
Dy 0.5000 0.5000 0.5000  4 Tl 3.44, 8 Tb 3.44

Values from the calculation:
Distance to the lowest polymorph of the same formula ... 0.0 meV/atom
DFT total energy ... -4.241 eV per atom

| no. | total moment (μB per formula unit) |
| --- | --- |
| 1 | 0.00 |
| 2 | 6.43 |
| 3 | 0.00 |
| 4 | 0.00 |
| 5 | 0.00 |
| 6 | 1.03 |
| 7 | 0.00 |
| 8 | 0.00 |
| 9 | 0.00 |
| 10 | 0.00 |
| 11 | 0.00 |
| 12 | 0.85 |